Record 1
## ScAl5Ru6 (PBE)

Data for ScAl5Ru6 after structural relaxation.

Calculated values
DFT total energy ... -7.37 eV per atom
D(E_F) ... 13.3 states/eV/f.u.
Energy of formation ... -0.64 eV/atom
Space group ... Immm
Total magnetization ... 0.00 μB per cell

```
ScAl5Ru6
1.0
-2.153 3.043 6.452
2.153 -3.043 6.452
2.153 3.043 -6.452
Sc Al Ru
1 5 6
Direct
0.000 0.000 0.000
0.162 0.662 0.500
0.332 0.332 0.000
0.500 0.000 0.500
0.668 0.668 0.000
0.838 0.338 0.500
0.086 0.828 0.258
0.264 0.500 0.764
0.429 0.172 0.258
0.571 0.828 0.742
0.736 0.500 0.236
0.914 0.172 0.742
```

***

Record 2
## La2TbZn4 (PBE)

Data for La2TbZn4 after structural relaxation.

Calculated values
DFT total energy ... -2.90 eV per atom
D(E_F) ... 6.5 states/eV/f.u.
Energy of formation ... -0.10 eV/atom
Space group ... R-3m
Total magnetization ... 0.00 μB per cell

```
La2TbZn4
1.0
2.552 1.474 8.490
-2.552 1.474 8.490
0.000 -2.947 8.490
La Tb Zn
2 1 4
Direct
0.245 0.245 0.245
0.755 0.755 0.755
0.000 0.000 0.000
0.123 0.123 0.123
0.372 0.372 0.372
0.628 0.628 0.628
0.877 0.877 0.877
```

***

Record 3
## Na4Np3Te8 (PBE)

Data for Na4Np3Te8 after structural relaxation.

Calculated values
DFT total energy ... -5.33 eV per atom
D(E_F) ... 26.2 states/eV/f.u.
E_form (uncorrected) ... -0.717 eV/atom
Space group ... R-3m
Energy relative to the lowest polymorph listed for this composition ... 0.00 eV per formula unit
Total magnetization ... 9.00 μB per cell

```
Na4Np3Te8
1.0
4.461 2.575 8.098
-4.461 2.575 8.098
0.000 -5.151 8.098
Na Np Te
4 3 8
Direct
0.000 0.000 0.000
0.139 0.139 0.139
0.500 0.500 0.500
0.861 0.861 0.861
0.000 0.500 0.500
0.500 0.000 0.500
0.500 0.500 0.000
0.248 0.248 0.719
0.248 0.719 0.248
0.264 0.264 0.264
0.281 0.752 0.752
0.719 0.248 0.248
0.736 0.736 0.736
0.752 0.281 0.752
0.752 0.752 0.281
```

***

Record 4
## Sr4Pr3Te8 (PBE)

Data for Sr4Pr3Te8 after structural relaxation.

Calculated values
DFT total energy ... -4.54 eV per atom
D(E_F) ... 4.8 states/eV/f.u.
E_form (uncorrected) ... -1.462 eV/atom
Space group ... R-3m
Total magnetization ... 0.00 μB per cell

```
Sr4Pr3Te8
1.0
4.585 2.647 8.518
-4.585 2.647 8.518
0.000 -5.294 8.518
Sr Pr Te
4 3 8
Direct
0.000 0.000 0.000
0.146 0.146 0.146
0.500 0.500 0.500
0.854 0.854 0.854
0.000 0.500 0.500
0.500 0.000 0.500
0.500 0.500 0.000
0.249 0.249 0.734
0.249 0.734 0.249
0.266 0.751 0.751
0.267 0.267 0.267
0.733 0.733 0.733
0.734 0.249 0.249
0.751 0.266 0.751
0.751 0.751 0.266
```

***

Record 5
## CePrP2O8 (PBE)

Data for CePrP2O8 after structural relaxation.

Calculated values
DFT total energy ... -7.93 eV per atom
D(E_F) ... 2.8 states/eV/f.u.
E_form (uncorrected) ... -2.832 eV/atom
Space group ... P-3m1
Total magnetization ... 1.00 μB per cell

```
CePrP2O8
1.0
5.334 0.000 0.000
-2.667 4.620 0.000
0.000 0.000 7.421
Ce Pr P O
1 1 2 8
Direct
0.000 0.000 0.000
0.000 0.000 0.500
0.333 0.667 0.305
0.667 0.333 0.695
0.175 0.350 0.232
0.175 0.825 0.232
0.333 0.667 0.511
0.350 0.175 0.768
0.650 0.825 0.232
0.667 0.333 0.489
0.825 0.175 0.768
0.825 0.650 0.768
```

***

Record 6
## LiMgPaIr (PBE)

Data for LiMgPaIr after structural relaxation.

Calculated values
DFT total energy ... -5.76 eV per atom
D(E_F) ... 4.6 states/eV/f.u.
Energy of formation ... -0.29 eV/atom
Space group ... F-43m
Total magnetization ... 0.00 μB per cell

```
LiMgPaIr
1.0
6.691 0.000 0.000
0.000 6.691 0.000
0.000 0.000 6.691
Li Mg Pa Ir
4 4 4 4
Direct
0.000 0.000 0.000
0.000 0.500 0.500
0.500 0.000 0.500
0.500 0.500 0.000
0.250 0.250 0.750
0.250 0.750 0.250
0.750 0.250 0.250
0.750 0.750 0.750
0.250 0.250 0.250
0.250 0.750 0.750
0.750 0.250 0.750
0.750 0.750 0.250
0.000 0.000 0.500
0.000 0.500 0.000
0.500 0.000 0.000
0.500 0.500 0.500
```